Record 1
Crystalline Pu3Cd2Au3 at its relaxed geometry, computed with PBE. Values from VASP.

The calculation puts the density of states at the Fermi level at 28.41 states/eV per cell. For the magnetic moment, the calculation gives 17.51 μB/cell. As for the space group: Immm. The value obtained for the calculated formation energy is -0.272 eV per atom.

Cell and atoms, written as Quantum ESPRESSO input:
```
&SYSTEM
  ibrav = 0, nat = 8, ntyp = 3
/
ATOMIC_SPECIES
Pu 244.00 Pu.upf
Au 196.97 Au.upf
Cd 112.41 Cd.upf
ATOMIC_POSITIONS crystal
Pu 0.617 0.617 0.234
Pu 0.383 0.383 0.766
Pu 0.500 0.000 0.000
Au 0.865 0.865 0.730
Au 0.135 0.135 0.270
Au 0.000 0.500 0.000
Cd 0.745 0.245 0.491
Cd 0.255 0.755 0.509
CELL_PARAMETERS angstrom
-0.156 -3.642 -1.757
3.887 1.093 -2.610
3.839 -2.339 9.166
```



Record 2
Crystalline PdSe2S at its relaxed geometry, computed with PBE. Values from VASP.

The calculation puts the density of states at the Fermi level at 4.65 states/eV per cell. For the magnetic moment, the calculation gives 0.00 μB/cell. As for the formation energy from raw total energies: 249 meV per atom. As for the space group: I-42d.

Cell and atoms, written as Quantum ESPRESSO input:
```
&SYSTEM
  ibrav = 0, nat = 8, ntyp = 3
/
ATOMIC_SPECIES
S 32.06 S.upf
Se 78.96 Se.upf
Pd 106.42 Pd.upf
ATOMIC_POSITIONS crystal
S 0.250 0.750 0.500
S 0.500 0.500 0.000
Se 0.642 0.125 0.250
Se 0.375 0.358 0.750
Se 0.108 0.625 0.250
Se 0.875 0.892 0.750
Pd 0.000 0.000 0.000
Pd 0.750 0.250 0.500
CELL_PARAMETERS angstrom
-1.983 5.069 -0.869
-4.259 -2.141 -2.767
-6.482 1.086 3.649
```



Record 3
Crystalline Ac8GeIr3Br4 at its relaxed geometry, computed with PBE. Values from VASP.

The calculation puts the density of states at the Fermi level at 10.71 states/eV per cell. For the magnetic moment, the calculation gives 0.00 μB/cell. As for the formation energy from raw total energies: -1135 meV per atom. As for the space group: R-3m.

Cell and atoms, written as Quantum ESPRESSO input:
```
&SYSTEM
  ibrav = 0, nat = 16, ntyp = 4
/
ATOMIC_SPECIES
Ir 192.22 Ir.upf
Ge 72.64 Ge.upf
Ac 227.00 Ac.upf
Br 79.90 Br.upf
ATOMIC_POSITIONS crystal
Ir 0.000 0.500 0.500
Ir 0.500 0.500 0.500
Ir 0.500 0.500 0.000
Ge 0.000 0.500 0.000
Ac 0.283 0.305 0.044
Ac 0.732 0.697 0.465
Ac 0.761 0.305 0.522
Ac 0.761 0.305 0.044
Ac 0.717 0.695 0.956
Ac 0.268 0.303 0.535
Ac 0.239 0.695 0.478
Ac 0.239 0.695 0.956
Br 0.000 0.000 0.500
Br 0.500 0.000 0.500
Br 0.000 0.000 0.000
Br 0.500 0.000 0.000
CELL_PARAMETERS angstrom
-2.259 6.122 -6.066
-8.429 1.320 4.471
7.426 1.028 4.814
```



Record 4
Crystalline Pu2UTl3Se6 at its relaxed geometry, computed with PBE. Values from VASP.

The calculation puts the density of states at the Fermi level at 27.58 states/eV per cell. For the magnetic moment, the calculation gives 13.00 μB/cell. As for the formation energy from raw total energies: -1056 meV per atom. As for the space group: C2/m.

Cell and atoms, written as Quantum ESPRESSO input:
```
&SYSTEM
  ibrav = 0, nat = 12, ntyp = 4
/
ATOMIC_SPECIES
Se 78.96 Se.upf
Tl 204.38 Tl.upf
U 238.03 U.upf
Pu 244.00 Pu.upf
ATOMIC_POSITIONS crystal
Se 0.607 0.932 0.797
Se 0.257 0.257 0.795
Se 0.743 0.743 0.205
Se 0.393 0.068 0.203
Se 0.932 0.607 0.797
Se 0.068 0.393 0.203
Tl 0.500 0.500 0.500
Tl 0.832 0.168 0.500
Tl 0.168 0.832 0.500
U 0.000 0.000 0.000
Pu 0.666 0.334 0.000
Pu 0.334 0.666 0.000
CELL_PARAMETERS angstrom
7.332 0.000 0.001
-3.664 6.350 0.001
-1.222 -2.117 7.740
```



Record 5
Crystalline CeSn2Pd2 at its relaxed geometry, computed with PBE. Values from VASP.

The calculation puts the density of states at the Fermi level at 15.53 states/eV per cell. For the magnetic moment, the calculation gives 1.90 μB/cell. As for the space group: P4/nmm. The value obtained for the calculated formation energy is -0.713 eV per atom.

Cell and atoms, written as Quantum ESPRESSO input:
```
&SYSTEM
  ibrav = 0, nat = 10, ntyp = 3
/
ATOMIC_SPECIES
Pd 106.42 Pd.upf
Ce 140.12 Ce.upf
Sn 118.71 Sn.upf
ATOMIC_POSITIONS crystal
Pd 0.750 0.250 0.000
Pd 0.250 0.750 0.000
Pd 0.250 0.250 0.630
Pd 0.750 0.750 0.370
Ce 0.750 0.750 0.759
Ce 0.250 0.250 0.241
Sn 0.250 0.750 0.500
Sn 0.250 0.250 0.872
Sn 0.750 0.750 0.128
Sn 0.750 0.250 0.500
CELL_PARAMETERS angstrom
-4.320 1.362 -0.792
-0.573 -3.511 -2.913
-3.420 -6.150 8.084
```



Record 6
Crystalline Pr2TiSe5 at its relaxed geometry, computed with PBE. Values from VASP.

For the magnetic moment, the calculation gives 0.00 μB/cell. As for the formation energy from raw total energies: -1493 meV per atom. As for the space group: Cm.

Cell and atoms, written as Quantum ESPRESSO input:
```
&SYSTEM
  ibrav = 0, nat = 8, ntyp = 3
/
ATOMIC_SPECIES
Se 78.96 Se.upf
Pr 140.91 Pr.upf
Ti 47.87 Ti.upf
ATOMIC_POSITIONS crystal
Se 0.194 0.194 0.100
Se 0.680 0.202 0.846
Se 0.642 0.642 0.543
Se 0.899 0.898 0.316
Se 0.202 0.681 0.846
Pr 0.921 0.333 0.534
Pr 0.333 0.921 0.533
Ti 0.905 0.906 0.837
CELL_PARAMETERS angstrom
-4.584 -1.907 5.339
4.779 -4.488 3.185
1.429 4.648 0.642
```



Record 7
Crystalline SrLiIn3 at its relaxed geometry, computed with PBE. Values from VASP.

Its energy relative to the lowest polymorph listed for this composition is 0.0000 eV per atom. The calculation puts the density of states at the Fermi level at 8.84 states/eV per cell. For the magnetic moment, the calculation gives 0.00 μB/cell. As for the space group: P6_3/mmc. The value obtained for the calculated formation energy is -0.261 eV per atom.

Cell and atoms, written as Quantum ESPRESSO input:
```
&SYSTEM
  ibrav = 0, nat = 10, ntyp = 3
/
ATOMIC_SPECIES
Sr 87.62 Sr.upf
Li 6.94 Li.upf
In 114.82 In.upf
ATOMIC_POSITIONS crystal
Sr 0.250 0.333 0.667
Sr 0.750 0.667 0.333
Li 0.000 0.000 0.000
Li 0.500 0.000 0.000
In 0.750 0.186 0.814
In 0.250 0.814 0.186
In 0.250 0.814 0.627
In 0.750 0.627 0.814
In 0.750 0.186 0.373
In 0.250 0.373 0.186
CELL_PARAMETERS angstrom
-0.128 -4.383 -4.131
4.177 -4.048 4.165
-7.116 -0.379 0.622
```



Record 8
Crystalline Np3Ag3RhSe8 at its relaxed geometry, computed with PBE. Values from VASP.

The calculation puts the density of states at the Fermi level at 32.52 states/eV per cell. For the magnetic moment, the calculation gives 11.00 μB/cell. As for the formation energy from raw total energies: -625 meV per atom. As for the space group: C2/m.

Cell and atoms, written as Quantum ESPRESSO input:
```
&SYSTEM
  ibrav = 0, nat = 15, ntyp = 4
/
ATOMIC_SPECIES
Se 78.96 Se.upf
Ag 107.87 Ag.upf
Rh 102.91 Rh.upf
Np 237.00 Np.upf
ATOMIC_POSITIONS crystal
Se 0.773 0.998 0.271
Se 0.227 0.454 0.729
Se 0.775 0.002 0.729
Se 0.773 0.546 0.271
Se 0.252 0.504 0.256
Se 0.748 0.496 0.744
Se 0.225 0.998 0.271
Se 0.227 0.002 0.729
Ag 0.500 0.500 0.000
Ag 0.000 0.500 0.000
Ag 0.000 0.000 0.000
Rh 0.000 0.000 0.500
Np 0.500 0.000 0.500
Np 0.000 0.500 0.500
Np 0.500 0.500 0.500
CELL_PARAMETERS angstrom
-7.405 3.201 0.058
0.944 -7.967 -0.845
1.577 3.519 7.162
```